# 1
K2SrCuBi (GGA-PBE, optimized geometry); total magnetization = 0.0 μB/cell; uncorrected energy = -2.201 eV/atom; SG = No. 123
1.0
6.981 0.000 0.000
0.000 5.032 0.000
0.000 0.000 6.981
Bi Cu K Sr
1 1 2 1
direct
0.000 0.000 0.000
0.000 0.500 0.000
0.000 0.000 0.500
0.500 0.000 0.000
0.500 0.500 0.500

# 2
KCuBiTe2 (GGA-PBE, optimized geometry); total magnetization = 0.0 μB/cell; uncorrected energy = -3.379 eV/atom; SG = No. 13
1.0
4.197 0.000 0.000
0.000 8.205 1.012
0.000 -1.406 9.293
Te Bi K Cu
4 2 2 2
direct
0.397 0.753 0.494
0.603 0.753 0.994
0.603 0.247 0.506
0.397 0.247 0.006
0.503 0.000 0.750
0.497 0.000 0.250
0.967 0.500 0.250
0.033 0.500 0.750
0.000 0.000 0.500
0.000 0.000 0.000

# 3
KTi2CuBi (GGA-PBE, optimized geometry); total magnetization = 2.5 μB/cell; uncorrected energy = -4.260 eV/atom; SG = No. 123
1.0
4.885 0.000 0.000
0.000 5.348 0.000
0.000 0.000 4.885
Ti K Bi Cu
2 1 1 1
direct
0.000 0.000 0.500
0.500 0.000 0.000
0.000 0.500 0.000
0.500 0.500 0.500
0.000 0.000 0.000

# 4
KTlCu2Bi (GGA-PBE, optimized geometry); total magnetization = 0.0 μB/cell; uncorrected energy = -2.429 eV/atom; SG = No. 123
1.0
-3.237 -0.766 3.793
4.513 -1.481 3.552
0.488 4.825 1.391
Tl Cu Bi K
1 2 1 1
direct
0.000 0.000 0.000
0.000 0.000 0.500
0.500 0.000 0.000
0.500 0.500 0.500
0.000 0.500 0.000